LiMnCl3 | PBE | relaxed

Cell lengths 4.9911, 4.9911, 4.9911 Å; angles 90.00, 90.00, 90.00 degrees
Closest atoms and distances in Å follow each position.
Fractional coordinates of all 5 atoms:
1 Li 0.0000 0.0000 0.0000  12 Cl 3.53
2 Mn 0.5000 0.5000 0.5000  6 Cl 2.50
3 Cl 0.0000 0.5000 0.5000  2 Mn 2.50
4 Cl 0.5000 0.0000 0.5000  2 Mn 2.50
5 Cl 0.5000 0.5000 0.0000  2 Mn 2.50

The total energy is -22.18 eV for the cell shown. Its uncorrected formation energy is -1.11 eV/atom. Its energy above the lowest structure with this stoichiometry is 233.4 meV per atom.